No. 1
{
  "formula": "Th2Al2CoSi4",
  "functional": "GGA-PBE",
  "state": "relaxed",
  "dft_energy_ev_per_atom": -6.132,
  "crystal_system": "tetragonal",
  "magmom_total_mub_per_fu": 0.00,
  "e_form_raw_ev_per_atom": -0.451,
  "cell": [[6.088, -0.006, -0.009], [-2.928, 5.338, 0.009], [-2.928, -1.867, 5.000]],
  "species": ["Al", "Th", "Si", "Si", "Si", "Al", "Co", "Th", "Si"],
  "frac_coords": [[0.000, 0.292, 0.292], [0.500, 0.750, 0.250], [0.000, 0.272, 0.728], [0.000, 0.728, 0.272], [0.543, 0.272, 0.272], [0.000, 0.708, 0.708], [0.000, 0.000, 0.000], [0.500, 0.250, 0.750], [0.457, 0.728, 0.728]]
}

No. 2
{
  "formula": "Sr2Cu3As4Rh",
  "functional": "GGA-PBE",
  "state": "relaxed",
  "dft_energy_ev_per_atom": -4.720,
  "crystal_system": "tetragonal",
  "magmom_total_mub_per_fu": 0.00,
  "e_form_ev_per_atom": -0.560,
  "cell": [[-4.337, -0.635, -0.386], [0.364, -3.807, 2.175], [-1.462, 4.765, 8.584]],
  "species": ["As", "As", "Cu", "Sr", "Sr", "Cu", "As", "As", "Cu", "Rh"],
  "frac_coords": [[0.500, 0.000, 0.626], [0.000, 0.500, 0.374], [0.000, 0.500, 0.124], [0.500, 0.000, 0.249], [0.000, 0.500, 0.751], [0.000, 0.000, 0.500], [0.000, 0.000, 0.000], [0.500, 0.500, 0.000], [0.500, 0.000, 0.876], [0.500, 0.500, 0.500]]
}

No. 3
{
  "formula": "LiOsPdW2",
  "functional": "GGA-PBE",
  "state": "relaxed",
  "dft_energy_ev_per_atom": -7.295,
  "crystal_system": "tetragonal",
  "magmom_total_mub_per_fu": 0.00,
  "e_form_ev_per_atom": 1.553,
  "cell": [[-1.926, 2.701, -3.352], [-1.624, -3.574, -1.947], [-3.934, 0.387, 2.572]],
  "species": ["Pd", "W", "Os", "W", "Li"],
  "frac_coords": [[0.500, 0.500, 0.500], [0.500, 0.000, 0.000], [0.000, 0.000, 0.000], [0.000, 0.000, 0.500], [0.000, 0.500, 0.000]]
}

No. 4
{
  "formula": "NaLiGaI3",
  "functional": "GGA-PBE",
  "state": "relaxed",
  "dft_energy_ev_per_atom": -2.724,
  "crystal_system": "monoclinic",
  "magmom_total_mub_per_fu": 0.00,
  "e_form_raw_ev_per_atom": -0.906,
  "cell": [[4.611, 0.000, 0.000], [0.000, 9.286, 0.514], [0.000, -3.076, 10.759]],
  "species": ["Li", "Li", "I", "I", "I", "I", "Na", "I", "I", "Ga", "Na", "Ga"],
  "frac_coords": [[0.750, 0.920, 0.402], [0.250, 0.080, 0.598], [0.750, 0.930, 0.154], [0.750, 0.409, 0.150], [0.250, 0.591, 0.850], [0.750, 0.210, 0.536], [0.750, 0.829, 0.856], [0.250, 0.790, 0.464], [0.250, 0.070, 0.846], [0.250, 0.657, 0.152], [0.250, 0.171, 0.144], [0.750, 0.343, 0.848]]
}

No. 5
{
  "formula": "B2C",
  "functional": "GGA-PBE",
  "state": "relaxed",
  "relative_energy_mev_per_atom": 311,
  "dft_energy_ev_per_atom": -7.030,
  "crystal_system": "triclinic",
  "magmom_total_mub_per_fu": 0.00,
  "e_form_ev_per_atom": 0.496,
  "cell": [[1.761, -2.074, -2.074], [-3.744, -1.913, -1.365], [0.209, 3.097, -4.441]],
  "species": ["B", "B", "C", "B", "C", "B", "B", "B", "C", "B", "B", "C"],
  "frac_coords": [[0.498, 0.459, 0.031], [0.811, 0.752, 0.825], [0.019, 0.028, 0.989], [0.486, 0.694, 0.541], [0.300, 0.248, 0.841], [0.846, 0.541, 0.272], [0.950, 0.243, 0.472], [0.604, 0.034, 0.657], [0.731, 0.212, 0.185], [0.222, 0.780, 0.140], [0.408, 0.025, 0.368], [0.126, 0.485, 0.680]]
}

No. 6
{
  "formula": "FeAg2Os",
  "functional": "GGA-PBE",
  "state": "relaxed",
  "relative_energy_mev_per_atom": 375,
  "dft_energy_ev_per_atom": -5.660,
  "crystal_system": "tetragonal",
  "magmom_total_mub_per_fu": 3.91,
  "e_form_ev_per_atom": 0.689,
  "cell": [[-0.674, -4.271, 0.150], [1.561, -0.367, -3.431], [3.400, -0.481, 1.598]],
  "species": ["Ag", "Fe", "Os", "Ag"],
  "frac_coords": [[0.000, 0.500, 0.500], [0.500, 0.500, 0.000], [0.500, 0.000, 0.500], [0.000, 0.000, 0.000]]
}